Compound: AcHgGe
Source: Alexandria via LeMat-Bulk
Functional: GGA-PBE
Structure: optimized geometry

Properties
Energy, eV/atom: -3.551
ΔH_f (0 K), eV per atom: -0.54
SG: P3m1
Spin magnetization, μB per cell: 0.0

```
AcHgGe
1.0
-3.059 0.863 -3.332
3.329 -0.464 -3.176
-2.470 -3.681 1.315
Ac Ge Hg
1 1 1
direct
0.673 0.667 0.333
0.098 0.000 0.000
0.228 0.333 0.667
```